Computed, not measured: a relaxed ZrMn2Cl crystal at the PBE level of DFT.

Cell and atoms, written as POSCAR:
```
ZrMn2Cl
1.0
3.0306 0.0000 0.0000
0.0000 4.5637 0.0000
0.0000 0.0000 5.0663
Cl Mn Zr
1 2 1
Direct
0.0000 0.5000 0.5000 Cl
0.0000 0.0000 0.0000 Mn
0.5000 0.5000 0.0000 Mn
0.5000 0.0000 0.5000 Zr
```

Results
**Raw formation energy**: 0.20 eV/atom
**Crystal system**: orthorhombic
**Relative energy among the computed polymorphs**: 369 meV/atom
**Size of the total moment**: 1.76 μB/atom